Run w
Computed, not measured: a geometry-optimized PmErTe3 structure at the GGA-PBE level of DFT.

Lattice parameters (Å, degrees): 4.2852 14.1895 10.7602 90.00 90.00 90.00
Space group Cmcm (No. 63)
One atom of each set of equivalent atoms:
1 Pm 0.0000 0.2489 0.2500 (multiplicity 4)
2 Er 0.0000 0.0000 0.0000 (multiplicity 4)
3 Te 0.0000 0.0903 0.7500 (multiplicity 4)
4 Te 0.0000 0.3533 0.5627 (multiplicity 8)

Properties
M_tot (Bohr magnetons per cell): 0.00

Run x
Computed, not measured: a geometry-optimized PmErTe3 structure at the GGA-PBE level of DFT.

Lattice parameters (Å, degrees): 8.2523 4.3715 17.3537 90.00 90.00 90.00
Space group Pnma (No. 62)
One atom of each set of equivalent atoms:
1 Pm 0.1346 0.2500 0.2003 (multiplicity 4)
2 Er 0.2276 0.7500 0.4585 (multiplicity 4)
3 Te 0.0046 0.2500 0.3937 (multiplicity 4)
4 Te 0.1173 0.7500 0.0633 (multiplicity 4)
5 Te 0.1571 0.2500 0.7858 (multiplicity 4)

Properties
M_tot (Bohr magnetons per cell): 0.00

Of them, run w has the highest stability.

Run w
Computed, not measured: a geometry-optimized PmEr4Th2 structure at the GGA-PBE level of DFT.

Lattice parameters (Å, degrees): 3.4739 8.4984 8.6847 62.56 89.44 81.22
Space group P-1 (No. 2)
One atom of each set of equivalent atoms:
1 Pm 0.0000 0.0000 0.0000 (multiplicity 1)
2 Er 0.0443 0.4509 0.7155 (multiplicity 2)
3 Er 0.3553 0.8530 0.4246 (multiplicity 2)
4 Th 0.4104 0.7176 0.8656 (multiplicity 2)

Properties
M_tot (Bohr magnetons per cell): 0.00

Run x
Computed, not measured: a geometry-optimized PmEr4Th2 structure at the GGA-PBE level of DFT.

Lattice parameters (Å, degrees): 3.4948 3.4948 63.6918 90.00 90.00 120.00
Space group R-3m (No. 166, hexagonal axes)
One atom of each set of equivalent atoms:
1 Pm 0.0000 0.0000 0.0000 (multiplicity 3)
2 Er 0.0000 0.0000 0.1439 (multiplicity 6)
3 Er 0.0000 0.0000 0.2882 (multiplicity 6)
4 Th 0.0000 0.0000 0.2352 (multiplicity 6)

Properties
M_tot (Bohr magnetons per cell): 0.02

Of them, run w has the highest stability.

Run w
Computed, not measured: a geometry-optimized Pm3Er2Th structure at the GGA-PBE level of DFT.

Lattice parameters (Å, degrees): 11.0260 12.0232 6.8926 90.00 90.00 90.00
Space group Ibam (No. 72)
One atom of each set of equivalent atoms:
1 Pm 0.0000 0.0000 0.2500 (multiplicity 4)
2 Pm 0.0000 0.2676 0.2500 (multiplicity 8)
3 Er 0.2433 0.1933 0.0000 (multiplicity 8)
4 Th 0.0000 0.5000 0.0000 (multiplicity 4)

Properties
M_tot (Bohr magnetons per cell): 0.00

Run x
Computed, not measured: a geometry-optimized Pm3Er2Th structure at the GGA-PBE level of DFT.

Lattice parameters (Å, degrees): 10.8350 6.2634 11.6102 90.00 90.00 90.00
Space group Cmcm (No. 63)
One atom of each set of equivalent atoms:
1 Pm 0.0000 0.0000 0.0000 (multiplicity 4)
2 Pm 0.1637 0.5000 0.0000 (multiplicity 8)
3 Er 0.1659 0.1680 0.2500 (multiplicity 8)
4 Th 0.0000 0.3329 0.7500 (multiplicity 4)

Properties
M_tot (Bohr magnetons per cell): 0.00

Of them, run x has the highest stability.

Run w
Computed, not measured: a geometry-optimized Pm2Er3Th structure at the GGA-PBE level of DFT.

Lattice parameters (Å, degrees): 12.3722 5.8605 11.2085 90.00 107.99 90.00
Space group C2/m (No. 12)
One atom of each set of equivalent atoms:
1 Pm 0.1275 0.0000 0.1063 (multiplicity 4)
2 Pm 0.1348 0.5000 0.6242 (multiplicity 4)
3 Er 0.1232 0.5000 0.9570 (multiplicity 4)
4 Er 0.1240 0.5000 0.2896 (multiplicity 4)
5 Er 0.1256 0.0000 0.4694 (multiplicity 4)
6 Th 0.1137 0.0000 0.7849 (multiplicity 4)

Properties
M_tot (Bohr magnetons per cell): 0.00

Run x
Computed, not measured: a geometry-optimized Pm2Er3Th structure at the GGA-PBE level of DFT.

Lattice parameters (Å, degrees): 3.3774 6.5855 18.0093 90.00 90.00 90.00
Space group Immm (No. 71)
One atom of each set of equivalent atoms:
1 Pm 0.0000 0.0000 0.1816 (multiplicity 4)
2 Er 0.0000 0.5000 0.1523 (multiplicity 4)
3 Er 0.0000 0.5000 0.5000 (multiplicity 2)
4 Th 0.0000 0.0000 0.5000 (multiplicity 2)

Properties
M_tot (Bohr magnetons per cell): 0.00

Of them, run w has the highest stability.

Run w
Computed, not measured: a geometry-optimized Pm5Er4Th structure at the GGA-PBE level of DFT.

Lattice parameters (Å, degrees): 18.1546 3.5671 10.5375 90.00 96.77 90.00
Space group C2/m (No. 12)
One atom of each set of equivalent atoms:
1 Pm 0.0000 0.0000 0.0000 (multiplicity 2)
2 Pm 0.1392 0.5000 0.7217 (multiplicity 4)
3 Pm 0.1895 0.5000 0.0959 (multiplicity 4)
4 Er 0.0474 0.5000 0.2612 (multiplicity 4)
5 Er 0.1809 0.0000 0.4157 (multiplicity 4)
6 Th 0.0000 0.0000 0.5000 (multiplicity 2)

Properties
M_tot (Bohr magnetons per cell): 0.00

Run x
Computed, not measured: a geometry-optimized Pm5Er4Th structure at the GGA-PBE level of DFT.

Lattice parameters (Å, degrees): 17.0241 3.5384 11.4936 90.00 108.64 90.00
Space group C2/m (No. 12)
One atom of each set of equivalent atoms:
1 Pm 0.0000 0.0000 0.0000 (multiplicity 2)
2 Pm 0.1899 0.5000 0.0810 (multiplicity 4)
3 Pm 0.2033 0.5000 0.6118 (multiplicity 4)
4 Er 0.0813 0.5000 0.2962 (multiplicity 4)
5 Er 0.1050 0.0000 0.7981 (multiplicity 4)
6 Th 0.0000 0.0000 0.5000 (multiplicity 2)

Properties
M_tot (Bohr magnetons per cell): 0.00

Of them, run x has the highest stability.

Run w
Computed, not measured: a geometry-optimized PmEr6Th4 structure at the GGA-PBE level of DFT.

Lattice parameters (Å, degrees): 7.9112 7.9112 12.7401 90.00 90.00 90.00
Space group I-42m (No. 121)
One atom of each set of equivalent atoms:
1 Pm 0.0000 0.0000 0.0000 (multiplicity 2)
2 Er 0.0000 0.5000 0.0000 (multiplicity 4)
3 Er 0.2366 0.2366 0.6835 (multiplicity 8)
4 Th 0.1663 0.1663 0.4259 (multiplicity 8)

Properties
M_tot (Bohr magnetons per cell): 0.00

Run x
Computed, not measured: a geometry-optimized PmEr6Th4 structure at the GGA-PBE level of DFT.

Lattice parameters (Å, degrees): 3.4195 5.8368 35.6544 90.00 90.00 90.00
Space group Immm (No. 71)
One atom of each set of equivalent atoms:
1 Pm 0.0000 0.0000 0.0000 (multiplicity 2)
2 Er 0.0000 0.5000 0.1315 (multiplicity 4)
3 Er 0.0000 0.5000 0.2330 (multiplicity 4)
4 Er 0.0000 0.5000 0.4031 (multiplicity 4)
5 Th 0.0000 0.0000 0.1824 (multiplicity 4)
6 Th 0.0000 0.0000 0.4554 (multiplicity 4)

Properties
M_tot (Bohr magnetons per cell): 0.00

Of them, run x has the highest stability.

Run w
Computed, not measured: a geometry-optimized Pm2Er2Th structure at the GGA-PBE level of DFT.

Lattice parameters (Å, degrees): 5.3738 3.5240 8.9171 90.00 107.47 90.00
Space group P2/m (No. 10)
One atom of each set of equivalent atoms:
1 Pm 0.1981 0.0000 0.3962 (multiplicity 2)
2 Er 0.3973 0.5000 0.7942 (multiplicity 2)
3 Th 0.0000 0.0000 0.0000 (multiplicity 1)

Properties
M_tot (Bohr magnetons per cell): 0.00

Run x
Computed, not measured: a geometry-optimized Pm2Er2Th structure at the GGA-PBE level of DFT.

Lattice parameters (Å, degrees): 3.5890 3.5890 43.4400 90.00 90.00 120.00
Space group R-3m (No. 166, hexagonal axes)
One atom of each set of equivalent atoms:
1 Pm 0.0000 0.0000 0.2008 (multiplicity 6)
2 Er 0.0000 0.0000 0.3976 (multiplicity 6)
3 Th 0.0000 0.0000 0.0000 (multiplicity 3)

Properties
M_tot (Bohr magnetons per cell): 0.00

Of them, run x has the highest stability.

Run w
Computed, not measured: a geometry-optimized Pm3Er3Th2 structure at the GGA-PBE level of DFT.

Lattice parameters (Å, degrees): 6.1825 6.1959 8.0154 105.00 105.02 109.19
Space group P-1 (No. 2)
One atom of each set of equivalent atoms:
1 Pm 0.0000 0.0000 0.0000 (multiplicity 1)
2 Pm 0.1306 0.6304 0.2611 (multiplicity 2)
3 Er 0.3735 0.8734 0.7470 (multiplicity 2)
4 Er 0.5000 0.5000 0.0000 (multiplicity 1)
5 Th 0.2525 0.2523 0.5050 (multiplicity 2)

Properties
M_tot (Bohr magnetons per cell): 0.00

Run x
Computed, not measured: a geometry-optimized Pm3Er3Th2 structure at the GGA-PBE level of DFT.

Lattice parameters (Å, degrees): 5.0432 5.0612 20.3812 90.00 90.00 90.00
Space group Immm (No. 71)
One atom of each set of equivalent atoms:
1 Pm 0.0000 0.0000 0.0000 (multiplicity 2)
2 Pm 0.0000 0.5000 0.1279 (multiplicity 4)
3 Er 0.0000 0.0000 0.5000 (multiplicity 2)
4 Er 0.0000 0.5000 0.3725 (multiplicity 4)
5 Th 0.0000 0.0000 0.2496 (multiplicity 4)

Properties
M_tot (Bohr magnetons per cell): 0.00

Of them, run x has the highest stability.

Run w
Computed, not measured: a geometry-optimized PmEr9Th2 structure at the GGA-PBE level of DFT.

Lattice parameters (Å, degrees): 11.2711 11.2711 3.4883 90.00 90.00 120.00
Space group P6/mmm (No. 191)
One atom of each set of equivalent atoms:
1 Pm 0.0000 0.0000 0.0000 (multiplicity 1)
2 Er 0.0000 0.5000 0.0000 (multiplicity 3)
3 Er 0.1754 0.3508 0.5000 (multiplicity 6)
4 Th 0.3333 0.6667 0.0000 (multiplicity 2)

Properties
M_tot (Bohr magnetons per cell): 0.00

Run x
Computed, not measured: a geometry-optimized PmEr9Th2 structure at the GGA-PBE level of DFT.

Lattice parameters (Å, degrees): 4.9905 4.9905 14.9964 90.00 90.00 90.00
Space group P4/mmm (No. 123)
One atom of each set of equivalent atoms:
1 Pm 0.0000 0.0000 0.0000 (multiplicity 1)
2 Er 0.0000 0.5000 0.1694 (multiplicity 4)
3 Er 0.0000 0.5000 0.5000 (multiplicity 2)
4 Er 0.5000 0.5000 0.0000 (multiplicity 1)
5 Er 0.5000 0.5000 0.3336 (multiplicity 2)
6 Th 0.0000 0.0000 0.3343 (multiplicity 2)

Properties
M_tot (Bohr magnetons per cell): 0.00

Of them, run x has the highest stability.

Run w
Computed, not measured: a geometry-optimized PmEr6Th structure at the GGA-PBE level of DFT.

Lattice parameters (Å, degrees): 6.5181 6.7083 6.7859 61.73 78.28 89.47
Space group P-1 (No. 2)
One atom of each set of equivalent atoms:
1 Pm 0.0000 0.0000 0.0000 (multiplicity 1)
2 Er 0.2327 0.5730 0.5187 (multiplicity 2)
3 Er 0.2523 0.5434 0.0039 (multiplicity 2)
4 Er 0.2708 0.0906 0.4805 (multiplicity 2)
5 Th 0.5000 0.0000 0.0000 (multiplicity 1)

Properties
M_tot (Bohr magnetons per cell): 0.00

Run x
Computed, not measured: a geometry-optimized PmEr6Th structure at the GGA-PBE level of DFT.

Lattice parameters (Å, degrees): 4.9984 4.9984 9.9926 90.00 90.00 90.00
Space group P4/mmm (No. 123)
One atom of each set of equivalent atoms:
1 Pm 0.0000 0.0000 0.0000 (multiplicity 1)
2 Er 0.0000 0.5000 0.2534 (multiplicity 4)
3 Er 0.5000 0.5000 0.0000 (multiplicity 1)
4 Er 0.5000 0.5000 0.5000 (multiplicity 1)
5 Th 0.0000 0.0000 0.5000 (multiplicity 1)

Properties
M_tot (Bohr magnetons per cell): 0.00

Of them, run x has the highest stability.

Run w
Computed, not measured: a geometry-optimized Pm2ErTh structure at the GGA-PBE level of DFT.

Lattice parameters (Å, degrees): 8.0894 8.0894 8.0894 90.00 90.00 90.00
Space group Fm-3m (No. 225)
One atom of each set of equivalent atoms:
1 Pm 0.2500 0.2500 0.2500 (multiplicity 8)
2 Er 0.0000 0.0000 0.0000 (multiplicity 4)
3 Th 0.0000 0.0000 0.5000 (multiplicity 4)

Properties
M_tot (Bohr magnetons per cell): 0.08

Run x
Computed, not measured: a geometry-optimized Pm2ErTh structure at the GGA-PBE level of DFT.

Lattice parameters (Å, degrees): 12.4494 7.1560 6.2534 90.00 109.26 90.00
Space group C2/c (No. 15)
One atom of each set of equivalent atoms:
1 Pm 0.2477 0.1263 0.2490 (multiplicity 8)
2 Er 0.0000 0.3721 0.2500 (multiplicity 4)
3 Th 0.0000 0.1173 0.7500 (multiplicity 4)

Properties
M_tot (Bohr magnetons per cell): 0.00

Of them, run x has the highest stability.